VASP calculation (PBE) on Rb2Ba2I after structural relaxation.

Cell and atoms, written as CIF:
```
data_Rb2Ba2I
_chemical_formula_sum 'Rb4 Ba4 I2'
_cell_length_a 9.404
_cell_length_b 9.404
_cell_length_c 8.115
_cell_angle_alpha 90.00
_cell_angle_beta 90.00
_cell_angle_gamma 90.00
_space_group_name_H-M_alt 'P 1'
_space_group_IT_number 1
loop_
_space_group_symop_operation_xyz
'x,y,z'
loop_
_atom_site_label
_atom_site_type_symbol
_atom_site_fract_x
_atom_site_fract_y
_atom_site_fract_z
Rb1 Rb 0.163 0.337 0.000
Rb2 Rb 0.337 0.837 0.000
Rb3 Rb 0.663 0.163 0.000
Rb4 Rb 0.837 0.663 0.000
Ba1 Ba 0.164 0.664 0.500
Ba2 Ba 0.336 0.164 0.500
Ba3 Ba 0.664 0.836 0.500
Ba4 Ba 0.836 0.336 0.500
I1 I 0.000 0.000 0.500
I2 I 0.500 0.500 0.500
```

Output
ΔE_f (raw): -366 meV per atom
VASP energy: -1.832 eV per atom

VASP calculation (PBE) on BeCoAu after structural relaxation.

Cell and atoms, written as CIF:
```
data_BeCoAu
_chemical_formula_sum 'Be2 Co2 Au2'
_cell_length_a 2.769
_cell_length_b 2.769
_cell_length_c 9.471
_cell_angle_alpha 90.00
_cell_angle_beta 90.00
_cell_angle_gamma 90.00
_space_group_name_H-M_alt 'P 1'
_space_group_IT_number 1
loop_
_space_group_symop_operation_xyz
'x,y,z'
loop_
_atom_site_label
_atom_site_type_symbol
_atom_site_fract_x
_atom_site_fract_y
_atom_site_fract_z
Be1 Be 0.000 0.000 0.000
Be2 Be 0.500 0.500 0.500
Co1 Co 0.000 0.000 0.378
Co2 Co 0.500 0.500 0.878
Au1 Au 0.000 0.000 0.672
Au2 Au 0.500 0.500 0.172
```

Output
energy relative to the lowest polymorph listed for this composition: 0 meV per atom
VASP energy: -4.688 eV per atom

VASP calculation (PBE) on YRuPt2 after structural relaxation.

Cell and atoms, written as CIF:
```
data_YRuPt2
_chemical_formula_sum 'Y3 Ru3 Pt6'
_cell_length_a 2.937
_cell_length_b 2.937
_cell_length_c 28.163
_cell_angle_alpha 90.00
_cell_angle_beta 90.00
_cell_angle_gamma 120.00
_space_group_name_H-M_alt 'P 1'
_space_group_IT_number 1
loop_
_space_group_symop_operation_xyz
'x,y,z'
loop_
_atom_site_label
_atom_site_type_symbol
_atom_site_fract_x
_atom_site_fract_y
_atom_site_fract_z
Y1 Y 0.000 0.000 0.000
Y2 Y 0.333 0.667 0.667
Y3 Y 0.667 0.333 0.333
Ru1 Ru 0.000 0.000 0.756
Ru2 Ru 0.333 0.667 0.423
Ru3 Ru 0.667 0.333 0.089
Pt1 Pt 0.000 0.000 0.247
Pt2 Pt 0.000 0.000 0.498
Pt3 Pt 0.333 0.667 0.164
Pt4 Pt 0.333 0.667 0.913
Pt5 Pt 0.667 0.333 0.580
Pt6 Pt 0.667 0.333 0.831
```

Output
VASP energy: -6.812 eV per atom

VASP calculation (PBE) on Ti12In6Sn after structural relaxation.

Cell and atoms, written as CIF:
```
data_Ti12In6Sn
_chemical_formula_sum 'Ti12 In6 Sn1'
_cell_length_a 7.156
_cell_length_b 7.156
_cell_length_c 7.156
_cell_angle_alpha 91.89
_cell_angle_beta 91.89
_cell_angle_gamma 91.89
_space_group_name_H-M_alt 'P 1'
_space_group_IT_number 1
loop_
_space_group_symop_operation_xyz
'x,y,z'
loop_
_atom_site_label
_atom_site_type_symbol
_atom_site_fract_x
_atom_site_fract_y
_atom_site_fract_z
Ti1 Ti 0.035 0.954 0.287
Ti2 Ti 0.046 0.713 0.965
Ti3 Ti 0.123 0.431 0.353
Ti4 Ti 0.287 0.035 0.954
Ti5 Ti 0.353 0.123 0.431
Ti6 Ti 0.431 0.353 0.123
Ti7 Ti 0.569 0.647 0.877
Ti8 Ti 0.647 0.877 0.569
Ti9 Ti 0.713 0.965 0.046
Ti10 Ti 0.877 0.569 0.647
Ti11 Ti 0.954 0.287 0.035
Ti12 Ti 0.965 0.046 0.713
In1 In 0.211 0.377 0.764
In2 In 0.236 0.789 0.623
In3 In 0.377 0.764 0.211
In4 In 0.623 0.236 0.789
In5 In 0.764 0.211 0.377
In6 In 0.789 0.623 0.236
Sn1 Sn 0.500 0.500 0.500
```

Output
VASP energy: -6.045 eV per atom

VASP calculation (PBE) on MnSi2Tc after structural relaxation.

Cell and atoms, written as CIF:
```
data_MnSi2Tc
_chemical_formula_sum 'Mn2 Si4 Tc2'
_cell_length_a 4.092
_cell_length_b 4.092
_cell_length_c 5.806
_cell_angle_alpha 90.00
_cell_angle_beta 90.00
_cell_angle_gamma 90.00
_space_group_name_H-M_alt 'P 1'
_space_group_IT_number 1
loop_
_space_group_symop_operation_xyz
'x,y,z'
loop_
_atom_site_label
_atom_site_type_symbol
_atom_site_fract_x
_atom_site_fract_y
_atom_site_fract_z
Mn1 Mn 0.000 0.000 0.000
Mn2 Mn 0.500 0.500 0.500
Si1 Si 0.000 0.500 0.250
Si2 Si 0.000 0.500 0.750
Si3 Si 0.500 0.000 0.250
Si4 Si 0.500 0.000 0.750
Tc1 Tc 0.000 0.000 0.500
Tc2 Tc 0.500 0.500 0.000
```

Output
ΔE_f (raw): -337 meV per atom
energy relative to the lowest polymorph listed for this composition: 28 meV per atom
VASP energy: -7.932 eV per atom

VASP calculation (PBE) on RbPt after structural relaxation.

Cell and atoms, written as CIF:
```
data_RbPt
_chemical_formula_sum 'Rb2 Pt2'
_cell_length_a 4.736
_cell_length_b 4.967
_cell_length_c 6.808
_cell_angle_alpha 90.00
_cell_angle_beta 90.00
_cell_angle_gamma 90.00
_space_group_name_H-M_alt 'P 1'
_space_group_IT_number 1
loop_
_space_group_symop_operation_xyz
'x,y,z'
loop_
_atom_site_label
_atom_site_type_symbol
_atom_site_fract_x
_atom_site_fract_y
_atom_site_fract_z
Rb1 Rb 0.250 0.000 0.248
Rb2 Rb 0.750 0.000 0.752
Pt1 Pt 0.250 0.500 0.558
Pt2 Pt 0.750 0.500 0.442
```

Output
VASP energy: -3.444 eV per atom

VASP calculation (PBE) on Tl2FeAgC after structural relaxation.

Cell and atoms, written as CIF:
```
data_Tl2FeAgC
_chemical_formula_sum 'Tl2 Fe1 Ag1 C1'
_cell_length_a 5.233
_cell_length_b 5.233
_cell_length_c 3.628
_cell_angle_alpha 90.00
_cell_angle_beta 90.00
_cell_angle_gamma 90.00
_space_group_name_H-M_alt 'P 1'
_space_group_IT_number 1
loop_
_space_group_symop_operation_xyz
'x,y,z'
loop_
_atom_site_label
_atom_site_type_symbol
_atom_site_fract_x
_atom_site_fract_y
_atom_site_fract_z
Tl1 Tl 0.000 0.500 0.000
Tl2 Tl 0.500 0.000 0.000
Fe1 Fe 0.000 0.000 0.000
Ag1 Ag 0.500 0.500 0.500
C1 C 0.000 0.000 0.500
```

Output
VASP energy: -4.317 eV per atom

VASP calculation (PBE) on NaFe2I8 after structural relaxation.

Cell and atoms, written as CIF:
```
data_NaFe2I8
_chemical_formula_sum 'Na1 Fe2 I8'
_cell_length_a 9.049
_cell_length_b 9.049
_cell_length_c 7.140
_cell_angle_alpha 97.37
_cell_angle_beta 97.37
_cell_angle_gamma 62.42
_space_group_name_H-M_alt 'P 1'
_space_group_IT_number 1
loop_
_space_group_symop_operation_xyz
'x,y,z'
loop_
_atom_site_label
_atom_site_type_symbol
_atom_site_fract_x
_atom_site_fract_y
_atom_site_fract_z
Na1 Na 0.000 0.000 0.000
Fe1 Fe 0.180 0.180 0.660
Fe2 Fe 0.820 0.820 0.340
I1 I 0.118 0.680 0.243
I2 I 0.179 0.179 0.305
I3 I 0.320 0.882 0.757
I4 I 0.338 0.338 0.802
I5 I 0.662 0.662 0.198
I6 I 0.680 0.118 0.243
I7 I 0.821 0.821 0.695
I8 I 0.882 0.320 0.757
```

Output
ΔE_f (raw): -306 meV per atom
VASP energy: -3.092 eV per atom

VASP calculation (PBE) on Nd3Ga after structural relaxation.

Cell and atoms, written as CIF:
```
data_Nd3Ga
_chemical_formula_sum 'Nd6 Ga2'
_cell_length_a 4.775
_cell_length_b 4.775
_cell_length_c 10.090
_cell_angle_alpha 90.00
_cell_angle_beta 90.00
_cell_angle_gamma 90.00
_space_group_name_H-M_alt 'P 1'
_space_group_IT_number 1
loop_
_space_group_symop_operation_xyz
'x,y,z'
loop_
_atom_site_label
_atom_site_type_symbol
_atom_site_fract_x
_atom_site_fract_y
_atom_site_fract_z
Nd1 Nd 0.000 0.000 0.000
Nd2 Nd 0.000 0.500 0.250
Nd3 Nd 0.000 0.500 0.750
Nd4 Nd 0.500 0.000 0.250
Nd5 Nd 0.500 0.000 0.750
Nd6 Nd 0.500 0.500 0.500
Ga1 Ga 0.000 0.000 0.500
Ga2 Ga 0.500 0.500 0.000
```

Output
energy relative to the lowest polymorph listed for this composition: 41 meV per atom
VASP energy: -4.546 eV per atom

VASP calculation (PBE) on TiMo2AsP after structural relaxation.

Cell and atoms, written as CIF:
```
data_TiMo2AsP
_chemical_formula_sum 'Ti1 Mo2 As1 P1'
_cell_length_a 4.613
_cell_length_b 4.613
_cell_length_c 4.620
_cell_angle_alpha 90.00
_cell_angle_beta 90.00
_cell_angle_gamma 90.00
_space_group_name_H-M_alt 'P 1'
_space_group_IT_number 1
loop_
_space_group_symop_operation_xyz
'x,y,z'
loop_
_atom_site_label
_atom_site_type_symbol
_atom_site_fract_x
_atom_site_fract_y
_atom_site_fract_z
Ti1 Ti 0.000 0.000 0.000
Mo1 Mo 0.000 0.500 0.500
Mo2 Mo 0.500 0.000 0.500
As1 As 0.000 0.000 0.500
P1 P 0.500 0.500 0.000
```

Output
VASP energy: -6.893 eV per atom